This record from Alexandria describes a relaxed Tb2Dy5Ho crystal. The functional is PBE.

Geometry as CIF:
```
data_Tb2Dy5Ho
_chemical_formula_sum 'Tb4 Dy10 Ho2'
_space_group_name_H-M_alt 'P 1'
_space_group_IT_number 1
_cell_length_a 8.793
_cell_length_b 16.283
_cell_length_c 10.953
_cell_angle_alpha 90.54
_cell_angle_beta 89.49
_cell_angle_gamma 160.87
loop_
_space_group_symop_operation_xyz
'x,y,z'
loop_
_atom_site_label
_atom_site_fract_x
_atom_site_fract_y
_atom_site_fract_z
_atom_site_occupancy
Tb1 0.315 0.425 0.879 1
Tb2 0.243 0.395 0.606 1
Tb3 0.685 0.575 0.121 1
Tb4 0.757 0.605 0.394 1
Ho1 0.679 0.162 0.258 1
Ho2 0.321 0.838 0.742 1
Dy1 0.439 0.684 0.752 1
Dy2 0.561 0.316 0.248 1
Dy3 0.384 0.047 0.928 1
Dy4 0.527 0.323 0.919 1
Dy5 0.321 0.022 0.589 1
Dy6 0.616 0.953 0.072 1
Dy7 0.512 0.319 0.584 1
Dy8 0.473 0.677 0.081 1
Dy9 0.488 0.681 0.416 1
Dy10 0.679 0.978 0.411 1
```

Results
VASP energy: -70.77 eV per cell